# K2CdHg

A relaxed structure of K2CdHg (PBEsol, Alexandria).

Total magnetization in μB per atom: 0.00
Crystal system: tetragonal
Space group: P4mm
Total energy in eV per cell: -4.35

```
K2CdHg
1.0
3.9731 0.0000 0.0000
0.0000 3.9731 0.0000
0.0000 0.0000 9.5440
K Cd Hg
2 1 1
direct
0.0000 0.0000 0.0000 K
0.5000 0.5000 0.4004 K
0.0000 0.0000 0.6441 Cd
0.5000 0.5000 0.7645 Hg
```